Density functional theory data (meta-GGA SCAN) for a crystal of LiP2Au relaxed with PBEsol.

Calculated values
The energy above the most stable polymorph in this dataset is 0.684 eV per atom. The calculation puts the calculated density at 7.15 g/cm³. For the total DFT energy (no corrections), the calculation gives -22.843 eV/atom. The formation energy from the elements comes out at 94 kJ/mol of formula units. Its space group is Fm-3m. The crystal system is cubic. The magnetization is 0.001 μB per atom.

Cell lengths 4.4366, 4.4366, 4.4366 Å; angles 60.00, 60.00, 60.00 degrees
Element x y z (fractional)
Li  0.5000  0.5000  0.5000
P  0.7500  0.7500  0.7500
P  0.2500  0.2500  0.2500
Au  0.0000  0.0000  0.0000

---

Density functional theory data (meta-GGA SCAN) for a crystal of Mg3BePt relaxed with PBEsol.

Calculated values
The calculation puts the calculated density at 4.99 g/cm³. For the total DFT energy (no corrections), the calculation gives -17.532 eV/atom. The formation energy from the elements comes out at 175 kJ/mol of formula units. Its space group is Pm-3m. The crystal system is cubic. The magnetization is 0.001 μB per atom.

Cell lengths 4.5171, 4.5171, 4.5171 Å; angles 90.00, 90.00, 90.00 degrees
Element x y z (fractional)
Be  0.0000  0.0000  0.0000
Mg  0.0000  0.5000  0.0000
Mg  0.0000  0.0000  0.5000
Mg  0.5000  0.0000  0.0000
Pt  0.5000  0.5000  0.5000

---

Density functional theory data (meta-GGA SCAN) for a crystal of MnCrSb2 relaxed with PBEsol.

Calculated values
The calculation puts the calculated density at 7.68 g/cm³. For the total DFT energy (no corrections), the calculation gives -27.971 eV/atom. Its space group is P-3m1. The crystal system is trigonal. The magnetization is 1.600 μB per atom.

Cell lengths 3.9691, 3.9691, 5.5549 Å; angles 90.00, 90.00, 120.00 degrees
Each line ends with the local moment (μB).
Element x y z (fractional)
Cr  0.0000  0.0000  0.5000  3.09
Sb  0.3333  0.6667  0.2481  -0.16
Sb  0.6667  0.3333  0.7519  -0.16
Mn  0.0000  0.0000  0.0000  3.47

---

Density functional theory data (meta-GGA SCAN) for a crystal of SrAl2 relaxed with PBEsol.

Calculated values
The calculation puts the calculated density at 2.94 g/cm³. For the total DFT energy (no corrections), the calculation gives -12.832 eV/atom. The formation energy from the elements comes out at -69 kJ/mol of formula units. Its space group is I4_1/amd. The crystal system is tetragonal. The magnetization is 0.044 μB per atom.

Cell lengths 4.4915, 4.4915, 8.5536 Å; angles 105.25, 105.25, 89.97 degrees
Element x y z (fractional)
Al  0.4168  0.4168  0.8335
Al  0.8332  0.3333  0.6665
Al  0.6667  0.1668  0.3335
Al  0.5832  0.5832  0.1665
Sr  0.2500  0.7500  0.5000
Sr  0.0000  0.0000  0.0000

---

Density functional theory data (meta-GGA SCAN) for a crystal of PIr2Pb relaxed with PBEsol.

Calculated values
The energy above the most stable polymorph in this dataset is 0.556 eV per atom. The calculation puts the calculated density at 15.96 g/cm³. For the total DFT energy (no corrections), the calculation gives -56.310 eV/atom. The formation energy from the elements comes out at 303 kJ/mol of formula units. Its space group is Fm-3m. The crystal system is cubic. The magnetization is 0.277 μB per atom.

Cell lengths 4.5078, 4.5078, 4.5078 Å; angles 60.00, 60.00, 60.00 degrees
Each line ends with the local moment (μB).
Element x y z (fractional)
Pb  0.5000  0.5000  0.5000  0.02
Ir  0.7500  0.7500  0.7500  0.53
Ir  0.2500  0.2500  0.2500  0.53
P  0.0000  0.0000  0.0000  0.05

---

Density functional theory data (meta-GGA SCAN) for a crystal of KCrSe relaxed with PBEsol.

Calculated values
The calculation puts the calculated density at 3.51 g/cm³. For the total DFT energy (no corrections), the calculation gives -16.018 eV/atom. Its space group is I4mm. The crystal system is tetragonal. The magnetization is 1.440 μB per atom.

Cell lengths 3.6295, 3.6295, 6.6275 Å; angles 105.89, 105.89, 90.00 degrees
Each line ends with the local moment (μB).
Element x y z (fractional)
Cr  0.9343  0.9343  0.8686  3.99
K  0.6693  0.6693  0.3385  0.00
Se  0.3965  0.3965  0.7929  -0.08

---

Density functional theory data (meta-GGA SCAN) for a crystal of Nd2MgAl relaxed with PBEsol.

Calculated values
The calculation puts the calculated density at 5.39 g/cm³. For the total DFT energy (no corrections), the calculation gives -25.253 eV/atom. The formation energy from the elements comes out at -108 kJ/mol of formula units. Its space group is Fm-3m. The crystal system is cubic. The magnetization is 0.000 μB per atom.

Cell lengths 5.2916, 5.2916, 5.2916 Å; angles 60.00, 60.00, 60.00 degrees
Element x y z (fractional)
Nd  0.2500  0.2500  0.2500
Nd  0.7500  0.7500  0.7500
Al  0.5000  0.5000  0.5000
Mg  0.0000  0.0000  0.0000

---

Density functional theory data (meta-GGA SCAN) for a crystal of OsRhW2 relaxed with PBEsol.

Calculated values
The energy above the most stable polymorph in this dataset is 0.023 eV per atom. The calculation puts the calculated density at 18.73 g/cm³. For the total DFT energy (no corrections), the calculation gives -61.316 eV/atom. The formation energy from the elements comes out at -23 kJ/mol of formula units. Its space group is Pmmm. The crystal system is orthorhombic. The magnetization is 0.000 μB per atom.

Cell lengths 2.7466, 3.8813, 5.4966 Å; angles 90.00, 90.00, 90.00 degrees
Element x y z (fractional)
Os  0.5000  0.5000  0.0000
Rh  0.5000  0.5000  0.5000
W  0.0000  0.0000  0.2474
W  0.0000  0.0000  0.7526